Record 1
VASP calculation (GGA-PBEsol) on RbHfMg3 after structural relaxation.

Properties
DFT formation energy (eV/atom): 0.9056
E above lowest polymorph (eV/atom): 0.0000
Total DFT energy (no corrections) (eV/atom): -2.43
Space-group type: Pm-3m
DOS(E_F) (states/eV/f.u.): 7.0

Geometry as POSCAR:
```
RbHfMg3
1.0
5.782 0.000 0.000
0.000 5.782 0.000
0.000 0.000 5.782
Rb Hf Mg
1 1 3
Direct
0.000 0.000 0.000
0.500 0.500 0.500
0.000 0.500 0.500
0.500 0.000 0.500
0.500 0.500 0.000
```

***

Record 2
VASP calculation (GGA-PBEsol) on RbHfMg2 after structural relaxation.

Properties
DFT formation energy (eV/atom): 1.0796
Total DFT energy (no corrections) (eV/atom): -2.66
Space-group type: I-42d
DOS(E_F) (states/eV/f.u.): 4.8

Geometry as POSCAR:
```
RbHfMg2
1.0
-4.316 4.316 3.385
4.316 -4.316 3.385
4.316 4.316 -3.385
Rb Hf Mg
2 2 4
Direct
0.000 0.000 0.000
0.750 0.250 0.500
0.250 0.750 0.500
0.500 0.500 0.000
0.159 0.125 0.534
0.375 0.841 0.966
0.591 0.625 0.466
0.875 0.409 0.034
```

***

Record 3
VASP calculation (GGA-PBEsol) on RbHfMg3 after structural relaxation.

Properties
DFT formation energy (eV/atom): 1.6590
E above lowest polymorph (eV/atom): 0.7535
Total DFT energy (no corrections) (eV/atom): -1.68
Space-group type: Pm-3m
DOS(E_F) (states/eV/f.u.): 4.6

Geometry as POSCAR:
```
RbHfMg3
1.0
5.297 0.000 0.000
0.000 5.297 0.000
0.000 0.000 5.297
Rb Hf Mg
1 1 3
Direct
0.000 0.000 0.000
0.500 0.500 0.500
0.000 0.000 0.500
0.000 0.500 0.000
0.500 0.000 0.000
```

***

> Which of these has the lowest DOS(E_F)?

number 3

***

> Number 3 is which compound?

RbHfMg3

***

> Which of these has the highest DOS(E_F)?

number 1